Entry 1:
# PBE Li5Ge2S5, optimized geometry
data_Li5Ge2S5
_chemical_formula_sum 'Li10 Ge4 S10'
_cell_length_a 12.085
_cell_length_b 3.636
_cell_length_c 10.815
_cell_angle_alpha 90.00
_cell_angle_beta 108.52
_cell_angle_gamma 90.00
_symmetry_space_group_name_H-M 'C 1 2/m 1'
_symmetry_Int_Tables_number 12
loop_
_symmetry_equiv_pos_as_xyz
'x,y,z'
'-x,-y,-z'
'-x,y,-z'
'x,-y,z'
'x+1/2,y+1/2,z'
'-x+1/2,-y+1/2,-z'
'-x+1/2,y+1/2,-z'
'x+1/2,-y+1/2,z'
loop_
_atom_site_label
_atom_site_type_symbol
_atom_site_fract_x
_atom_site_fract_y
_atom_site_fract_z
Li1 Li 0.000 0.000 0.000
Li2 Li 0.150 0.000 0.543
Li3 Li 0.229 0.000 0.871
Ge1 Ge 0.045 0.500 0.285
S1 S 0.000 0.500 0.500
S2 S 0.108 0.500 0.916
S3 S 0.191 0.000 0.301
# * energy relative to the elements, uncorrected: -0.808 eV/atom
# * D(E_F): 2.5 states/eV/f.u.

Entry 2:
# PBE Tm2ThSn, optimized geometry
data_Tm2ThSn
_chemical_formula_sum 'Tm8 Th4 Sn4'
_cell_length_a 3.650
_cell_length_b 12.574
_cell_length_c 10.078
_cell_angle_alpha 90.00
_cell_angle_beta 90.00
_cell_angle_gamma 90.00
_symmetry_space_group_name_H-M 'C m c m'
_symmetry_Int_Tables_number 63
_symmetry_space_group_name_Hall '-C 2c 2'
loop_
_atom_site_label
_atom_site_type_symbol
_atom_site_fract_x
_atom_site_fract_y
_atom_site_fract_z
Tm1 Tm 0.000 0.133 0.025
Th1 Th 0.000 0.460 0.250
Sn1 Sn 0.000 0.266 0.750
# * formation energy: -345 meV/atom
# * E above lowest polymorph: 0.02 eV per formula unit
# * D(E_F): 3.8 states/eV/f.u.

Entry 3:
# PBE La2CuOs, optimized geometry
data_La2CuOs
_chemical_formula_sum 'La4 Cu2 Os2'
_cell_length_a 7.476
_cell_length_b 4.318
_cell_length_c 7.143
_cell_angle_alpha 90.00
_cell_angle_beta 110.35
_cell_angle_gamma 90.00
_symmetry_space_group_name_H-M 'C 1 2/m 1'
_symmetry_Int_Tables_number 12
loop_
_symmetry_equiv_pos_as_xyz
'x,y,z'
'-x,-y,-z'
'-x,y,-z'
'x,-y,z'
'x+1/2,y+1/2,z'
'-x+1/2,-y+1/2,-z'
'-x+1/2,y+1/2,-z'
'x+1/2,-y+1/2,z'
loop_
_atom_site_label
_atom_site_type_symbol
_atom_site_fract_x
_atom_site_fract_y
_atom_site_fract_z
La1 La 0.240 0.000 0.220
Cu1 Cu 0.000 0.000 0.500
Os1 Os 0.000 0.500 0.000
# * formation energy: 50 meV/atom
# * D(E_F): 2.6 states/eV/f.u.

Entry 4:
# PBE Cd2Se, optimized geometry
data_Cd2Se
_chemical_formula_sum 'Cd2 Se1'
_cell_length_a 4.7482
_cell_length_b 4.7482
_cell_length_c 3.8909
_cell_angle_alpha 90.00
_cell_angle_beta 90.00
_cell_angle_gamma 120.00
_symmetry_space_group_name_H-M 'P 6/m m m'
_symmetry_Int_Tables_number 191
_symmetry_space_group_name_Hall '-P 6 2'
loop_
_atom_site_label
_atom_site_type_symbol
_atom_site_fract_x
_atom_site_fract_y
_atom_site_fract_z
Cd1 Cd 0.3333 0.6667 0.0000
Se1 Se 0.0000 0.0000 0.5000
# * energy relative to the elements, uncorrected: 0.150 eV/atom
# * E above lowest polymorph: 1.24 eV per formula unit
# * D(E_F): 2.5 states/eV/f.u.

Entry 5:
# PBE MgZrCr, optimized geometry
data_MgZrCr
_chemical_formula_sum 'Mg2 Zr2 Cr2'
_cell_length_a 3.180
_cell_length_b 3.180
_cell_length_c 11.763
_cell_angle_alpha 90.00
_cell_angle_beta 90.00
_cell_angle_gamma 90.00
_symmetry_space_group_name_H-M 'I 4 m m'
_symmetry_Int_Tables_number 107
_symmetry_space_group_name_Hall 'I 4 -2'
loop_
_atom_site_label
_atom_site_type_symbol
_atom_site_fract_x
_atom_site_fract_y
_atom_site_fract_z
Mg1 Mg 0.000 0.000 0.000
Zr1 Zr 0.000 0.000 0.298
Cr1 Cr 0.000 0.000 0.655
# * formation energy: 253 meV/atom
# * E above lowest polymorph: 0.60 eV per formula unit
# * D(E_F): 2.2 states/eV/f.u.

Entry 6:
# PBE Sr2In2Ir, optimized geometry
data_Sr2In2Ir
_chemical_formula_sum 'Sr4 In4 Ir2'
_cell_length_a 7.308
_cell_length_b 7.308
_cell_length_c 5.303
_cell_angle_alpha 90.00
_cell_angle_beta 90.00
_cell_angle_gamma 90.00
_symmetry_space_group_name_H-M 'P 4/m b m'
_symmetry_Int_Tables_number 127
_symmetry_space_group_name_Hall '-P 4 2ab'
loop_
_atom_site_label
_atom_site_type_symbol
_atom_site_fract_x
_atom_site_fract_y
_atom_site_fract_z
Sr1 Sr 0.181 0.319 0.000
In1 In 0.143 0.643 0.500
Ir1 Ir 0.000 0.000 0.500
# * formation energy: -148 meV/atom
# * E above lowest polymorph: 1.18 eV per formula unit
# * D(E_F): 3.5 states/eV/f.u.

Entry 7:
# PBE SrMnPt2, optimized geometry
data_SrMnPt2
_chemical_formula_sum 'Sr1 Mn1 Pt2'
_cell_length_a 3.049
_cell_length_b 4.083
_cell_length_c 6.558
_cell_angle_alpha 90.00
_cell_angle_beta 90.00
_cell_angle_gamma 90.00
_symmetry_space_group_name_H-M 'P m m 2'
_symmetry_Int_Tables_number 25
loop_
_symmetry_equiv_pos_as_xyz
'x,y,z'
'-x,-y,z'
'-x,y,z'
'x,-y,z'
loop_
_atom_site_label
_atom_site_type_symbol
_atom_site_fract_x
_atom_site_fract_y
_atom_site_fract_z
Sr1 Sr 0.000 0.000 0.000
Mn1 Mn 0.500 0.500 0.364
Pt1 Pt 0.000 0.000 0.483
Pt2 Pt 0.500 0.500 0.746
# * formation energy: -171 meV/atom
# * D(E_F): 2.9 states/eV/f.u.

Entry 8:
# PBE La2Dy8Er, optimized geometry
data_La2Dy8Er
_chemical_formula_sum 'La4 Dy16 Er2'
_cell_length_a 18.808
_cell_length_b 7.057
_cell_length_c 5.634
_cell_angle_alpha 90.00
_cell_angle_beta 92.43
_cell_angle_gamma 90.00
_symmetry_space_group_name_H-M 'C 1 2/m 1'
_symmetry_Int_Tables_number 12
loop_
_symmetry_equiv_pos_as_xyz
'x,y,z'
'-x,-y,-z'
'-x,y,-z'
'x,-y,z'
'x+1/2,y+1/2,z'
'-x+1/2,-y+1/2,-z'
'-x+1/2,y+1/2,-z'
'x+1/2,-y+1/2,z'
loop_
_atom_site_label
_atom_site_type_symbol
_atom_site_fract_x
_atom_site_fract_y
_atom_site_fract_z
La1 La 0.216 0.000 0.256
Dy1 Dy 0.044 0.000 0.236
Dy2 Dy 0.127 0.233 0.736
Dy3 Dy 0.182 0.500 0.233
Er1 Er 0.000 0.500 0.000
# * formation energy: 182 meV/atom
# * E above lowest polymorph: 1.69 eV per formula unit
# * D(E_F): 17.1 states/eV/f.u.

Entry 9:
# PBE Sm2Zn3Sn, optimized geometry
data_Sm2Zn3Sn
_chemical_formula_sum 'Sm2 Zn3 Sn1'
_cell_length_a 3.749
_cell_length_b 4.565
_cell_length_c 7.953
_cell_angle_alpha 90.00
_cell_angle_beta 90.00
_cell_angle_gamma 90.00
_symmetry_space_group_name_H-M 'P m m 2'
_symmetry_Int_Tables_number 25
loop_
_symmetry_equiv_pos_as_xyz
'x,y,z'
'-x,-y,z'
'-x,y,z'
'x,-y,z'
loop_
_atom_site_label
_atom_site_type_symbol
_atom_site_fract_x
_atom_site_fract_y
_atom_site_fract_z
Sm1 Sm 0.000 0.000 0.000
Sm2 Sm 0.000 0.500 0.481
Zn1 Zn 0.500 0.000 0.318
Zn2 Zn 0.500 0.000 0.637
Zn3 Zn 0.500 0.500 0.171
Sn1 Sn 0.500 0.500 0.824
# * formation energy: -469 meV/atom
# * E above lowest polymorph: 0.14 eV per formula unit
# * D(E_F): 3.7 states/eV/f.u.

Entry 10:
# PBE SmMgCd6, optimized geometry
data_SmMgCd6
_chemical_formula_sum 'Sm1 Mg1 Cd6'
_cell_length_a 4.698
_cell_length_b 4.698
_cell_length_c 8.505
_cell_angle_alpha 90.00
_cell_angle_beta 90.00
_cell_angle_gamma 90.00
_symmetry_space_group_name_H-M 'P 4/m m m'
_symmetry_Int_Tables_number 123
_symmetry_space_group_name_Hall '-P 4 2'
loop_
_atom_site_label
_atom_site_type_symbol
_atom_site_fract_x
_atom_site_fract_y
_atom_site_fract_z
Sm1 Sm 0.000 0.000 0.000
Mg1 Mg 0.000 0.000 0.500
Cd1 Cd 0.000 0.500 0.263
Cd2 Cd 0.500 0.500 0.000
Cd3 Cd 0.500 0.500 0.500
# * formation energy: -173 meV/atom
# * E above lowest polymorph: 0.03 eV per formula unit
# * D(E_F): 3.9 states/eV/f.u.

Entry 11:
# PBE Tl4Tc2Pb, optimized geometry
data_Tl4Tc2Pb
_chemical_formula_sum 'Tl8 Tc4 Pb2'
_cell_length_a 5.815
_cell_length_b 5.815
_cell_length_c 14.080
_cell_angle_alpha 90.00
_cell_angle_beta 90.00
_cell_angle_gamma 90.00
_symmetry_space_group_name_H-M 'I 4/m m m'
_symmetry_Int_Tables_number 139
_symmetry_space_group_name_Hall '-I 4 2'
loop_
_atom_site_label
_atom_site_type_symbol
_atom_site_fract_x
_atom_site_fract_y
_atom_site_fract_z
Tl1 Tl 0.000 0.000 0.218
Tl2 Tl 0.000 0.500 0.000
Tc1 Tc 0.000 0.000 0.423
Pb1 Pb 0.000 0.000 0.000
# * formation energy: 1017 meV/atom
# * D(E_F): 5.9 states/eV/f.u.

Entry 12:
# PBE Ac2CeAgSe5, optimized geometry
data_Ac2CeAgSe5
_chemical_formula_sum 'Ac8 Ce4 Ag4 Se20'
_cell_length_a 4.341
_cell_length_b 18.116
_cell_length_c 12.896
_cell_angle_alpha 90.00
_cell_angle_beta 90.00
_cell_angle_gamma 90.00
_symmetry_space_group_name_H-M 'C m c 21'
_symmetry_Int_Tables_number 36
loop_
_symmetry_equiv_pos_as_xyz
'x,y,z'
'-x,-y,z+1/2'
'-x,y,z'
'x,-y,z+1/2'
'x+1/2,y+1/2,z'
'-x+1/2,-y+1/2,z+1/2'
'-x+1/2,y+1/2,z'
'x+1/2,-y+1/2,z+1/2'
loop_
_atom_site_label
_atom_site_type_symbol
_atom_site_fract_x
_atom_site_fract_y
_atom_site_fract_z
Ac1 Ac 0.000 0.112 0.000
Ac2 Ac 0.000 0.124 0.624
Ce1 Ce 0.000 0.196 0.322
Ag1 Ag 0.000 0.449 0.772
Se1 Se 0.000 0.045 0.385
Se2 Se 0.000 0.291 0.981
Se3 Se 0.000 0.308 0.663
Se4 Se 0.000 0.359 0.316
Se5 Se 0.000 0.498 0.084
# * energy relative to the elements, uncorrected: -1.644 eV/atom
# * D(E_F): 6.1 states/eV/f.u.

no.,final energy (eV for the cell shown)
1,-98.27
2,-86.98
3,-49.97
4,-4.87
5,-38.01
6,-36.89
7,-23.62
8,-98.47
9,-20.08
10,-13.19
11,-53.57
12,-196.89